This record from Alexandria describes Sc2Be15Ir2 after structural relaxation. The functional is PBE.

Calculated values
- Fermi-level density of states: 6.2 states/eV/f.u.
- SG: R-3m (166)
- Calculated formation energy: -280 meV per atom
- Raw total energy: -0.354 Ry/atom
- Mass density: 5.099 Mg/m³

Structure (POSCAR):
```
Sc2Be15Ir2
1.0
-1.804 -5.234 -1.948
1.178 -2.986 4.914
-5.409 0.270 2.262
Be Ir Sc
15 2 2
Direct
0.344 0.845 0.344
0.000 0.280 0.720
0.500 0.000 0.000
0.000 0.000 0.500
0.656 0.155 0.656
0.845 0.344 0.344
0.344 0.344 0.845
0.155 0.656 0.656
0.656 0.656 0.155
0.000 0.720 0.280
0.000 0.500 0.000
0.280 0.720 0.000
0.280 0.000 0.720
0.720 0.000 0.280
0.720 0.280 0.000
0.887 0.887 0.887
0.113 0.113 0.113
0.654 0.654 0.654
0.346 0.346 0.346
```